1.
# Ac2Al3GaHg4 | Alexandria via LeMat-Bulk | GGA-PBE | relaxed
# Total DFT energy (no corrections) ... -27.38 eV for the cell shown
# Total moment ... 0.0 μB/f.u.
data_Ac2Al3GaHg4
_cell_length_a 4.6737
_cell_length_b 4.6737
_cell_length_c 11.1410
_cell_angle_alpha 90.00
_cell_angle_beta 90.00
_cell_angle_gamma 90.00
_space_group_name_H-M_alt 'P -4 m 2'
_space_group_IT_number 115
_space_group_name_Hall 'P -4 -2'
loop_
_atom_site_label
_atom_site_type_symbol
_atom_site_fract_x
_atom_site_fract_y
_atom_site_fract_z
_atom_site_occupancy
Ac1 Ac 0.0000 0.5000 0.2496 1
Al1 Al 0.0000 0.0000 0.0000 1
Al2 Al 0.0000 0.5000 0.6313 1
Ga1 Ga 0.5000 0.5000 0.0000 1
Hg1 Hg 0.0000 0.0000 0.5000 1
Hg2 Hg 0.0000 0.5000 0.8665 1
Hg3 Hg 0.5000 0.5000 0.5000 1



2.
# Ac2AlGa3Hg4 | Alexandria via LeMat-Bulk | GGA-PBE | relaxed
# Total DFT energy (no corrections) ... -26.08 eV for the cell shown
# Total moment ... 0.0 μB/f.u.
data_Ac2AlGa3Hg4
_cell_length_a 4.6723
_cell_length_b 4.6723
_cell_length_c 11.2017
_cell_angle_alpha 90.00
_cell_angle_beta 90.00
_cell_angle_gamma 90.00
_space_group_name_H-M_alt 'P -4 m 2'
_space_group_IT_number 115
_space_group_name_Hall 'P -4 -2'
loop_
_atom_site_label
_atom_site_type_symbol
_atom_site_fract_x
_atom_site_fract_y
_atom_site_fract_z
_atom_site_occupancy
Ac1 Ac 0.0000 0.5000 0.2496 1
Al1 Al 0.0000 0.0000 0.5000 1
Ga1 Ga 0.0000 0.5000 0.8641 1
Ga2 Ga 0.5000 0.5000 0.5000 1
Hg1 Hg 0.0000 0.0000 0.0000 1
Hg2 Hg 0.0000 0.5000 0.6288 1
Hg3 Hg 0.5000 0.5000 0.0000 1



3.
# Ac2AlGa4Hg3 | Alexandria via LeMat-Bulk | GGA-PBE | relaxed
# Total DFT energy (no corrections) ... -28.94 eV for the cell shown
# Total moment ... 0.0 μB/f.u.
data_Ac2AlGa4Hg3
_cell_length_a 4.6319
_cell_length_b 4.6319
_cell_length_c 11.1564
_cell_angle_alpha 90.00
_cell_angle_beta 90.00
_cell_angle_gamma 90.00
_space_group_name_H-M_alt 'P -4 m 2'
_space_group_IT_number 115
_space_group_name_Hall 'P -4 -2'
loop_
_atom_site_label
_atom_site_type_symbol
_atom_site_fract_x
_atom_site_fract_y
_atom_site_fract_z
_atom_site_occupancy
Ac1 Ac 0.0000 0.5000 0.2474 1
Al1 Al 0.5000 0.5000 0.0000 1
Ga1 Ga 0.0000 0.0000 0.5000 1
Ga2 Ga 0.0000 0.5000 0.8705 1
Ga3 Ga 0.5000 0.5000 0.5000 1
Hg1 Hg 0.0000 0.0000 0.0000 1
Hg2 Hg 0.0000 0.5000 0.6340 1